# BaNiAg3, relaxed, DFT PBE-GGA
# Volume ... 222 Å³/cell
# Density of states at the Fermi level ... 30.42 states/eV per cell
# Relative energy among the computed polymorphs ... 1500 meV per atom
# DFT formation energy ... 1.5949 eV per atom
# Total DFT energy (no corrections) ... -1.657 eV/atom
# M_tot ... 0.00 μB per cell
data_BaNiAg3
_chemical_formula_sum 'Ba1 Ni1 Ag3'
_symmetry_space_group_name_H-M 'P m -3 m'
_symmetry_Int_Tables_number 221
_symmetry_space_group_name_Hall '-P 4 2 3'
_cell_length_a 6.058
_cell_length_b 6.058
_cell_length_c 6.058
_cell_angle_alpha 90.00
_cell_angle_beta 90.00
_cell_angle_gamma 90.00
loop_
_atom_site_label
_atom_site_type_symbol
_atom_site_fract_x
_atom_site_fract_y
_atom_site_fract_z
Ba1 Ba 0.000 0.000 0.000
Ni1 Ni 0.500 0.500 0.500
Ag1 Ag 0.000 0.000 0.500